1.
Entry from the Alexandria database: a relaxed ThAu3 crystal (PBE).

Properties
Energy relative to the elements (meV per atom): -414
Volume (A^3/atom): 23.157
Spin magnetization (μB per formula unit): 0.00
Total energy (eV for the cell shown): -18.910

POSCAR file:
```
ThAu3
1.0
4.023 0.000 0.000
0.000 4.028 0.000
0.000 0.000 5.716
Au Th
3 1
direct
0.500 0.500 0.093
0.000 0.000 0.094
0.000 0.500 0.469
0.500 0.000 0.677
```


2.
Entry from the Alexandria database: a relaxed HfMg3P crystal (PBE).

Properties
Energy relative to the elements (meV per atom): 1539
Volume (A^3/atom): 33.786
Spin magnetization (μB per formula unit): 0.80
Energy above the lowest structure with this stoichiometry (eV per formula unit): 5.86
Total energy (eV for the cell shown): -12.453

POSCAR file:
```
HfMg3P
1.0
-5.366 1.068 -0.793
-1.330 -4.289 3.224
0.008 3.320 4.420
Mg P Hf
3 1 1
direct
0.500 0.000 0.000
0.000 0.000 0.500
0.000 0.500 0.000
0.500 0.500 0.500
0.000 0.000 0.000
```


3.
Entry from the Alexandria database: a relaxed NdCuGe crystal (PBE).

Properties
Energy relative to the elements (meV per atom): -526
Volume (A^3/atom): 21.834
Spin magnetization (μB per formula unit): 0.00
Total energy (eV for the cell shown): -15.059

POSCAR file:
```
NdCuGe
1.0
4.525 0.000 0.000
2.262 3.918 0.000
2.262 1.306 3.694
Nd Ge Cu
1 1 1
direct
0.500 0.500 0.500
0.000 0.000 0.000
0.250 0.250 0.250
```


4.
Entry from the Alexandria database: a relaxed Dy2Zn7Ag crystal (PBE).

Properties
Energy relative to the elements (meV per atom): -277
Volume (A^3/atom): 18.586
Spin magnetization (μB per formula unit): 0.00
Total energy (eV for the cell shown): -23.741

POSCAR file:
```
Dy2Zn7Ag
1.0
4.117 0.000 0.000
0.000 4.117 0.000
0.000 0.000 10.968
Zn Dy Ag
7 2 1
direct
0.500 0.000 0.367
0.000 0.000 0.500
0.000 0.500 0.854
0.000 0.500 0.633
0.500 0.500 0.500
0.500 0.000 0.146
0.000 0.000 0.000
0.500 0.000 0.741
0.000 0.500 0.259
0.500 0.500 0.000
```


5.
Entry from the Alexandria database: a relaxed LiCd2Ni crystal (PBE).

Properties
Energy relative to the elements (meV per atom): -12
Volume (A^3/atom): 16.683
Spin magnetization (μB per formula unit): 0.00
Energy above the lowest structure with this stoichiometry (eV per formula unit): 0.50
Total energy (eV for the cell shown): -9.574

POSCAR file:
```
LiCd2Ni
1.0
4.552 0.000 0.000
2.276 3.943 0.000
2.276 1.314 3.718
Ni Cd Li
1 2 1
direct
0.750 0.750 0.750
0.000 0.000 0.000
0.250 0.250 0.250
0.500 0.500 0.500
```


6.
Entry from the Alexandria database: a relaxed YTm2H8 crystal (PBE).

Properties
Volume (A^3/atom): 8.903
Spin magnetization (μB per formula unit): 0.00
Total energy (eV for the cell shown): -49.075

POSCAR file:
```
YTm2H8
1.0
-2.092 -1.305 2.601
-3.370 -1.539 -3.483
5.252 -3.312 0.094
H Tm Y
8 2 1
direct
0.663 0.426 0.327
0.842 0.842 0.684
0.663 0.901 0.327
0.337 0.574 0.673
0.000 0.276 0.000
0.337 0.099 0.673
0.000 0.724 0.000
0.158 0.158 0.316
0.169 0.669 0.338
0.831 0.331 0.662
0.500 0.000 0.000
```